! ZrPbN (GGA-PBE, optimized geometry); values from VASP
&SYSTEM
  ibrav = 0, nat = 6, ntyp = 3
/
ATOMIC_SPECIES
Zr 91.22 Zr.upf
N 14.01 N.upf
Pb 207.20 Pb.upf
ATOMIC_POSITIONS angstrom
Zr 0.884 3.347 10.786
Zr 2.653 1.673 2.380
N 0.884 1.673 11.804
N 2.653 3.347 1.362
Pb 2.653 3.347 8.032
Pb 0.884 1.673 5.134
CELL_PARAMETERS angstrom
3.538 0.000 0.000
0.000 3.347 0.000
0.000 1.673 13.166
! SG   Cmcm
! Total moment   0.0 μB per cell
! Raw formation energy   10.2 kJ/mol of atoms
! Energy   -6.755 eV per atom

***

! NdYCo (GGA-PBE, optimized geometry); values from VASP
&SYSTEM
  ibrav = 0, nat = 3, ntyp = 3
/
ATOMIC_SPECIES
Nd 144.24 Nd.upf
Co 58.93 Co.upf
Y 88.91 Y.upf
ATOMIC_POSITIONS angstrom
Nd 4.811 1.975 1.140
Co 0.017 0.000 0.000
Y 1.448 0.000 2.281
CELL_PARAMETERS angstrom
6.275 0.000 0.000
0.000 3.951 0.000
0.000 -1.975 3.421
! SG   P3m1
! Total moment   0.0 μB per cell
! DFT formation energy   -1 kJ/mol of atoms
! Energy   -6.119 eV per atom

***

! LaHf2Bi (GGA-PBE, optimized geometry); values from VASP
&SYSTEM
  ibrav = 0, nat = 8, ntyp = 3
/
ATOMIC_SPECIES
Bi 208.98 Bi.upf
Hf 178.49 Hf.upf
La 138.91 La.upf
ATOMIC_POSITIONS angstrom
Bi 0.000 0.000 0.000
Bi 8.708 4.354 1.567
Hf 10.885 11.241 2.351
Hf 1.821 6.531 0.784
Hf 6.887 2.177 0.784
Hf 6.531 6.175 2.351
La 4.354 4.354 0.000
La 4.354 8.708 1.567
CELL_PARAMETERS angstrom
8.708 0.000 0.000
0.000 8.708 0.000
4.354 4.354 3.134
! SG   I-42d
! Total moment   0.0 μB per cell
! DFT formation energy   40 kJ/mol of atoms
! Energy   -6.765 eV per atom

***

! TcOsBr2 (GGA-PBE, optimized geometry); values from VASP
&SYSTEM
  ibrav = 0, nat = 4, ntyp = 3
/
ATOMIC_SPECIES
Br 79.90 Br.upf
Os 190.23 Os.upf
Tc 98.00 Tc.upf
ATOMIC_POSITIONS angstrom
Br -1.922 1.474 6.041
Br -1.423 2.129 2.700
Os -2.807 4.545 4.739
Tc -3.979 7.378 5.119
CELL_PARAMETERS angstrom
-0.212 4.857 0.920
-3.313 3.668 0.224
-1.937 1.096 6.754
! SG   Cm
! Total moment   0.1 μB per cell
! Raw formation energy   71.1 kJ/mol of atoms
! Energy   -5.498 eV per atom

***

! Rb2CdHg6Pd (GGA-PBE, optimized geometry); values from VASP
&SYSTEM
  ibrav = 0, nat = 10, ntyp = 4
/
ATOMIC_SPECIES
Hg 200.59 Hg.upf
Pd 106.42 Pd.upf
Cd 112.41 Cd.upf
Rb 85.47 Rb.upf
ATOMIC_POSITIONS angstrom
Hg 9.785 5.977 5.677
Hg 5.977 5.977 5.651
Hg 3.937 3.938 2.755
Hg 7.865 7.866 2.975
Hg 5.825 5.827 0.078
Hg 2.018 5.827 0.053
Pd 3.921 3.922 0.053
Cd 0.000 0.000 0.000
Rb 3.940 7.864 2.866
Rb 7.862 3.941 2.864
CELL_PARAMETERS angstrom
7.843 -0.001 0.053
-0.001 7.845 0.053
3.960 3.960 5.624
! SG   C2/m
! Total moment   0.0 μB per cell
! DFT formation energy   -17 kJ/mol of atoms
! Energy   -1.164 eV per atom

***

! KTlCl2 (GGA-PBE, optimized geometry); values from VASP
&SYSTEM
  ibrav = 0, nat = 4, ntyp = 3
/
ATOMIC_SPECIES
Tl 204.38 Tl.upf
K 39.10 K.upf
Cl 35.45 Cl.upf
ATOMIC_POSITIONS angstrom
Tl 0.000 0.000 13.575
K 0.000 0.000 0.000
Cl 0.000 0.000 2.826
Cl 0.000 0.000 24.324
CELL_PARAMETERS angstrom
2.828 0.000 9.050
-1.414 2.449 9.050
-1.414 -2.449 9.050
! SG   R-3m
! Total moment   0.0 μB per cell
! Raw formation energy   -117.0 kJ/mol of atoms
! Energy   -3.002 eV per atom

***

! TbGaCu11 (GGA-PBE, optimized geometry); values from VASP
&SYSTEM
  ibrav = 0, nat = 13, ntyp = 3
/
ATOMIC_SPECIES
Cu 63.55 Cu.upf
Ga 69.72 Ga.upf
Tb 158.93 Tb.upf
ATOMIC_POSITIONS angstrom
Cu -0.032 -0.002 3.228
Cu 1.721 1.337 2.163
Cu 4.868 4.751 7.065
Cu 2.206 -0.005 4.160
Cu 3.675 2.139 3.859
Cu 3.905 4.754 3.073
Cu 0.789 2.142 4.483
Cu 2.684 1.334 6.155
Cu 2.915 3.949 5.369
Cu 1.089 3.049 0.454
Cu 5.801 3.946 4.745
Ga 3.327 3.046 1.386
Tb 0.000 0.000 0.000
CELL_PARAMETERS angstrom
4.475 -0.006 1.864
2.179 6.098 0.908
-0.064 -0.003 6.456
! SG   C2/m
! Total moment   0.0 μB per cell
! DFT formation energy   -12 kJ/mol of atoms
! Energy   -4.178 eV per atom

***

! PmCuAsPb (GGA-PBE, optimized geometry); values from VASP
&SYSTEM
  ibrav = 0, nat = 4, ntyp = 4
/
ATOMIC_SPECIES
Pm 145.00 Pm.upf
As 74.92 As.upf
Pb 207.20 Pb.upf
Cu 63.55 Cu.upf
ATOMIC_POSITIONS angstrom
Pm 0.000 0.000 0.000
As -7.262 0.708 -5.822
Pb -4.841 0.472 -3.881
Cu -2.421 0.236 -1.941
CELL_PARAMETERS angstrom
-1.613 -0.850 -4.742
-4.805 -1.426 -0.831
-3.264 3.221 -2.189
! SG   F-43m
! Total moment   0.0 μB per cell
! DFT formation energy   -26 kJ/mol of atoms
! Energy   -4.574 eV per atom

***

! Ba5TlIn4 (GGA-PBE, optimized geometry); values from VASP
&SYSTEM
  ibrav = 0, nat = 10, ntyp = 3
/
ATOMIC_SPECIES
Ba 137.33 Ba.upf
Tl 204.38 Tl.upf
In 114.82 In.upf
ATOMIC_POSITIONS angstrom
Ba 2.143 2.143 19.248
Ba 2.143 2.143 14.980
Ba 2.143 2.143 10.709
Ba 2.143 2.143 6.437
Ba 2.143 2.143 2.170
Tl 0.000 0.000 0.000
In 0.000 0.000 12.843
In 0.000 0.000 17.117
In 0.000 0.000 8.575
In 0.000 0.000 4.301
CELL_PARAMETERS angstrom
4.287 0.000 0.000
0.000 4.287 0.000
0.000 0.000 21.417
! SG   P4/mmm
! Total moment   0.0 μB per cell
! DFT formation energy   -38 kJ/mol of atoms
! Energy   -2.688 eV per atom

***

! MnMo2 (GGA-PBE, optimized geometry); values from VASP
&SYSTEM
  ibrav = 0, nat = 3, ntyp = 2
/
ATOMIC_SPECIES
Mo 95.94 Mo.upf
Mn 54.94 Mn.upf
ATOMIC_POSITIONS angstrom
Mo 1.552 1.911 0.988
Mo 0.000 3.883 1.955
Mn 0.000 0.000 0.000
CELL_PARAMETERS angstrom
3.104 0.000 0.000
-1.552 4.791 0.005
0.000 1.002 2.938
! SG   I4/mmm
! Total moment   1.4 μB per cell
! DFT formation energy   14 kJ/mol of atoms
! Energy   -10.131 eV per atom

***

! ErPuTl (GGA-PBE, optimized geometry); values from VASP
&SYSTEM
  ibrav = 0, nat = 3, ntyp = 3
/
ATOMIC_SPECIES
Pu 244.00 Pu.upf
Tl 204.38 Tl.upf
Er 167.26 Er.upf
ATOMIC_POSITIONS angstrom
Pu -0.561 -3.937 5.635
Tl -0.778 -2.661 1.040
Er 0.178 -1.043 3.757
CELL_PARAMETERS angstrom
-3.138 -1.416 -0.245
1.428 -3.009 -0.903
1.177 0.321 7.386
! SG   I4mm
! Total moment   6.2 μB per cell
! DFT formation energy   -2 kJ/mol of atoms
! Energy   -7.109 eV per atom

***

! Dy3SiN4 (GGA-PBE, optimized geometry); values from VASP
&SYSTEM
  ibrav = 0, nat = 16, ntyp = 3
/
ATOMIC_SPECIES
N 14.01 N.upf
Dy 162.50 Dy.upf
Si 28.09 Si.upf
ATOMIC_POSITIONS angstrom
N 3.025 4.512 2.164
N 0.437 1.943 1.507
N 0.417 5.765 0.000
N 3.399 1.079 0.000
N 0.437 1.943 5.835
N 3.025 4.512 5.177
N 0.811 5.376 3.671
N 3.005 0.690 3.671
Dy 0.191 4.297 1.842
Dy 2.779 2.158 5.513
Dy 0.191 4.297 5.500
Dy 2.779 2.158 1.829
Dy 0.190 1.008 3.671
Dy 2.778 5.447 0.000
Si 5.167 1.078 0.000
Si 2.579 5.376 3.671
CELL_PARAMETERS angstrom
5.176 0.000 0.000
0.000 6.455 0.000
0.000 0.000 7.342
! SG   Pmn2_1
! Total moment   2.0 μB per cell
! Raw formation energy   -128.3 kJ/mol of atoms
! Energy   -7.896 eV per atom

***

! K2HfAsSe5 (GGA-PBE, optimized geometry); values from VASP
&SYSTEM
  ibrav = 0, nat = 18, ntyp = 4
/
ATOMIC_SPECIES
K 39.10 K.upf
As 74.92 As.upf
Se 78.96 Se.upf
Hf 178.49 Hf.upf
ATOMIC_POSITIONS angstrom
K 2.105 7.154 2.527
K 0.000 2.575 9.422
K 2.105 7.373 11.439
K 0.000 2.356 4.544
As 2.105 1.281 12.737
As 0.000 8.448 5.842
Se 0.000 6.002 9.037
Se 2.105 3.297 6.953
Se 2.105 3.727 2.142
Se 0.000 9.544 3.810
Se 0.000 6.048 5.448
Se 0.000 6.432 0.058
Se 2.105 0.185 10.705
Se 0.000 1.074 0.271
Se 2.105 8.655 7.166
Se 2.105 3.681 12.343
Hf 2.105 5.719 7.405
Hf 0.000 4.010 0.510
CELL_PARAMETERS angstrom
4.211 0.000 0.000
-2.105 9.729 0.000
0.000 0.000 13.790
! SG   Cmc2_1
! Total moment   0.0 μB per cell
! Raw formation energy   -86.7 kJ/mol of atoms
! Energy   -4.701 eV per atom

***

! Sm2YTl2 (GGA-PBE, optimized geometry); values from VASP
&SYSTEM
  ibrav = 0, nat = 5, ntyp = 3
/
ATOMIC_SPECIES
Y 88.91 Y.upf
Sm 150.36 Sm.upf
Tl 204.38 Tl.upf
ATOMIC_POSITIONS angstrom
Y 0.000 0.000 0.000
Sm -0.359 -1.384 3.383
Sm -2.045 -4.273 8.324
Tl -0.316 -4.017 5.461
Tl -2.088 -1.640 6.246
CELL_PARAMETERS angstrom
-3.278 -3.085 1.943
2.458 -3.997 3.987
-1.584 1.425 5.777
! SG   Immm
! Total moment   0.0 μB per cell
! DFT formation energy   -27 kJ/mol of atoms
! Energy   -4.411 eV per atom

***

! YCo2Hg2 (GGA-PBE, optimized geometry); values from VASP
&SYSTEM
  ibrav = 0, nat = 5, ntyp = 3
/
ATOMIC_SPECIES
Hg 200.59 Hg.upf
Co 58.93 Co.upf
Y 88.91 Y.upf
ATOMIC_POSITIONS angstrom
Hg 0.093 -0.799 7.443
Hg -0.598 -0.774 2.932
Co -1.040 0.301 5.314
Co 0.535 -1.874 5.061
Y 0.000 0.000 0.000
CELL_PARAMETERS angstrom
-3.069 0.879 2.087
0.081 -3.470 1.581
2.483 1.018 6.707
! SG   I4/mmm
! Total moment   2.9 μB per cell
! DFT formation energy   16 kJ/mol of atoms
! Energy   -4.095 eV per atom

***

! LaTb5Sm5 (GGA-PBE, optimized geometry); values from VASP
&SYSTEM
  ibrav = 0, nat = 11, ntyp = 3
/
ATOMIC_SPECIES
Tb 158.93 Tb.upf
Sm 150.36 Sm.upf
La 138.91 La.upf
ATOMIC_POSITIONS angstrom
Tb 4.618 0.894 5.845
Tb 0.000 0.000 8.583
Tb 3.083 3.552 5.845
Tb 0.000 0.000 3.106
Tb 1.548 0.894 5.845
Sm 0.000 3.560 3.830
Sm 3.083 1.780 1.859
Sm 0.000 3.560 7.860
Sm 3.083 1.780 9.830
Sm 0.000 0.000 0.000
La 0.000 3.560 0.000
CELL_PARAMETERS angstrom
6.166 0.000 0.000
-3.083 5.340 0.000
0.000 0.000 11.690
! SG   P-6m2
! Total moment   0.0 μB per cell
! DFT formation energy   28 kJ/mol of atoms
! Energy   -4.405 eV per atom

***

! Ho2ZnAg3 (GGA-PBE, optimized geometry); values from VASP
&SYSTEM
  ibrav = 0, nat = 12, ntyp = 3
/
ATOMIC_SPECIES
Ho 164.93 Ho.upf
Zn 65.41 Zn.upf
Ag 107.87 Ag.upf
ATOMIC_POSITIONS angstrom
Ho 1.109 1.320 4.682
Ho 1.457 -4.039 2.563
Ho 3.802 -0.019 3.230
Ho -1.254 -2.691 4.024
Zn 3.206 3.111 3.079
Zn 1.705 -1.809 4.833
Ag 0.872 -0.929 2.476
Ag 1.637 1.589 1.573
Ag 4.039 2.231 5.436
Ag 3.274 -0.288 6.340
Ag 3.940 5.510 2.227
Ag 0.972 -4.209 5.686
CELL_PARAMETERS angstrom
-2.591 -2.026 4.745
2.795 -4.704 1.842
4.708 8.031 1.326
! SG   Fmmm
! Total moment   0.0 μB per cell
! DFT formation energy   -28 kJ/mol of atoms
! Energy   -3.455 eV per atom

***

! LiIn3Bi (GGA-PBE, optimized geometry); values from VASP
&SYSTEM
  ibrav = 0, nat = 5, ntyp = 3
/
ATOMIC_SPECIES
Bi 208.98 Bi.upf
In 114.82 In.upf
Li 6.94 Li.upf
ATOMIC_POSITIONS angstrom
Bi 0.381 1.421 4.214
In -0.342 -1.457 2.098
In 2.131 1.004 1.045
In -1.408 1.874 1.071
Li 0.000 0.000 0.000
CELL_PARAMETERS angstrom
-0.685 -2.914 4.196
4.262 2.007 2.090
-2.815 3.748 2.143
! SG   Pm-3m
! Total moment   0.0 μB per cell
! DFT formation energy   15 kJ/mol of atoms
! Energy   -2.651 eV per atom

***

! Hf2NiI (GGA-PBE, optimized geometry); values from VASP
&SYSTEM
  ibrav = 0, nat = 8, ntyp = 3
/
ATOMIC_SPECIES
Ni 58.69 Ni.upf
Hf 178.49 Hf.upf
I 126.90 I.upf
ATOMIC_POSITIONS angstrom
Ni 3.019 3.019 0.000
Ni 3.019 6.038 3.076
Hf 2.009 4.528 1.538
Hf 4.528 5.028 4.614
Hf 4.028 1.509 1.538
Hf 7.547 7.047 4.614
I 6.038 3.019 3.076
I 0.000 0.000 0.000
CELL_PARAMETERS angstrom
6.038 0.000 0.000
0.000 6.038 0.000
3.019 3.019 6.151
! SG   I-42d
! Total moment   0.0 μB per cell
! Raw formation energy   44.5 kJ/mol of atoms
! Energy   -6.348 eV per atom

***

! Dy4TlTe (GGA-PBE, optimized geometry); values from VASP
&SYSTEM
  ibrav = 0, nat = 12, ntyp = 3
/
ATOMIC_SPECIES
Dy 162.50 Dy.upf
Te 127.60 Te.upf
Tl 204.38 Tl.upf
ATOMIC_POSITIONS angstrom
Dy 3.924 0.948 1.624
Dy 4.059 6.670 3.266
Dy 0.513 8.432 4.871
Dy 3.236 3.470 4.871
Dy 1.201 5.910 1.624
Dy 4.059 6.670 6.476
Dy 0.378 2.711 0.019
Dy 0.378 2.711 3.228
Te -0.615 8.412 1.624
Te 5.052 0.969 4.871
Tl 0.860 5.438 4.871
Tl 3.577 3.943 1.624
CELL_PARAMETERS angstrom
6.078 0.891 0.000
-1.641 8.490 0.000
0.000 0.000 6.495
! SG   P2_1/m
! Total moment   0.0 μB per cell
! Raw formation energy   -51.3 kJ/mol of atoms
! Energy   -4.518 eV per atom